Below is CrTeOs2 after structural relaxation, with properties calculated at the PBE level.

abc: 2.9496 4.6154 4.6300
angles: 90.00 90.00 90.00
Last column: magnetic moment on the atom in μB.
Element x y z (fractional)
Cr: 0.0000 0.5000 0.5000  1.63
Os: 0.0000 0.0000 0.0000  -0.33
Os: 0.5000 0.5000 0.0000  -0.25
Te: 0.5000 0.0000 0.5000  -0.06

Output
Space group: Pmmm
DOS at the Fermi energy in states/eV per cell: 5.416
Final energy in eV/cell: -32.1

Below is RbTl2PSe after structural relaxation, with properties calculated at the PBE level.

abc: 5.3532 6.3421 5.3532
angles: 90.00 90.00 90.00
Element x y z (fractional)
P: 0.0000 0.0000 0.0000
Tl: 0.0000 0.0000 0.5000
Tl: 0.5000 0.0000 0.0000
Se: 0.5000 0.5000 0.5000
Rb: 0.0000 0.5000 0.0000

Output
Space group: P4/mmm
DOS at the Fermi energy in states/eV per cell: 3.714
Final energy in eV/cell: -14.6

Below is BeTl6Pd12 after structural relaxation, with properties calculated at the PBE level.

abc: 7.1562 7.1562 7.1562
angles: 85.85 85.85 85.85
Element x y z (fractional)
Be: 0.0000 0.0000 0.0000
Tl: 0.7521 0.7951 0.4097
Tl: 0.5903 0.2479 0.2049
Tl: 0.2049 0.5903 0.2479
Tl: 0.2479 0.2049 0.5903
Tl: 0.4097 0.7521 0.7951
Tl: 0.7951 0.4097 0.7521
Pd: 0.8695 0.4354 0.3498
Pd: 0.3498 0.8695 0.4354
Pd: 0.4354 0.3498 0.8695
Pd: 0.1305 0.5646 0.6502
Pd: 0.6502 0.1305 0.5646
Pd: 0.5646 0.6502 0.1305
Pd: 0.0010 0.0701 0.3124
Pd: 0.9299 0.6876 0.9990
Pd: 0.6876 0.9990 0.9299
Pd: 0.9990 0.9299 0.6876
Pd: 0.0701 0.3124 0.0010
Pd: 0.3124 0.0010 0.0701

Output
Space group: R-3
DOS at the Fermi energy in states/eV per cell: 7.715
Energy relative to the elements in eV per formula unit: -2.11

Below is KAsPb2Se4 after structural relaxation, with properties calculated at the PBE level.

abc: 8.5818 8.5818 8.5999
angles: 120.07 120.07 89.52
Element x y z (fractional)
K: 0.0000 0.5000 0.0000
K: 0.0000 0.5000 0.5000
As: 0.5000 0.5000 0.5000
As: 0.0000 0.0000 0.0000
Pb: 0.5000 0.0000 0.0000
Pb: 0.5000 0.0000 0.5000
Pb: 0.0000 0.0000 0.5000
Pb: 0.5000 0.5000 0.0000
Se: 0.2404 0.7777 0.0091
Se: 0.7223 0.2596 0.4909
Se: 0.2777 0.7404 0.5091
Se: 0.7596 0.2223 0.9909
Se: 0.7481 0.7520 0.9729
Se: 0.7480 0.7519 0.5271
Se: 0.2520 0.2481 0.4729
Se: 0.2519 0.2480 0.0271

Output
Space group: Imma
DOS at the Fermi energy in states/eV per cell: 3.465
Final energy in eV/cell: -61.1

Below is ErBIr2 after structural relaxation, with properties calculated at the PBE level.

abc: 4.1984 4.1983 4.7340
angles: 90.00 90.00 120.00
Element x y z (fractional)
Er: 0.0000 0.0000 0.5000
B: 0.0000 0.0000 0.0000
Ir: 0.3333 0.6667 0.0000
Ir: 0.6667 0.3333 0.0000

Output
Space group: P6/mmm
DOS at the Fermi energy in states/eV per cell: 4.093
Energy relative to the elements in eV per formula unit: 0.15

Below is Sc3ZnTc after structural relaxation, with properties calculated at the PBE level.

abc: 4.9938 4.9938 4.9938
angles: 90.00 90.00 90.00
Element x y z (fractional)
Sc: 0.0000 0.5000 0.0000
Sc: 0.0000 0.0000 0.5000
Sc: 0.5000 0.0000 0.0000
Zn: 0.5000 0.5000 0.5000
Tc: 0.0000 0.0000 0.0000

Output
Energy above the lowest structure with this stoichiometry in meV/atom: 463
Space group: Pm-3m
DOS at the Fermi energy in states/eV per cell: 4.554
Energy relative to the elements in eV per formula unit: 1.04